The following is a DFT calculation (PBE) of crystalline Tb6Y2Ho3Zr at its relaxed geometry.

a b c (Å): 6.0910 6.0910 11.6349
angles (deg): 94.96 94.96 119.91
Fractional positions:
1 Ho 0.1665 0.8335 0.5000
2 Zr 0.0000 0.0000 0.0000
3 Ho 0.5000 0.5000 0.5000
4 Y 0.6669 0.3331 0.0000
5 Ho 0.8335 0.1665 0.5000
6 Tb 0.0819 0.4083 0.2463
7 Tb 0.9181 0.5917 0.7537
8 Tb 0.2442 0.2442 0.7544
9 Tb 0.7558 0.7558 0.2456
10 Tb 0.5917 0.9181 0.7537
11 Y 0.3331 0.6669 0.0000
12 Tb 0.4083 0.0819 0.2463

space group: No. 12
total magnetic moment: 0.00 μB/atom

The following is a DFT calculation (PBE) of crystalline Tb2Y3Ho6Zr at its relaxed geometry.

a b c (Å): 6.0753 6.0753 11.6304
angles (deg): 94.96 94.96 119.92
Fractional positions:
1 Ho 0.5917 0.9186 0.7560
2 Ho 0.7548 0.7548 0.2437
3 Tb 0.6668 0.3332 0.0000
4 Ho 0.0814 0.4083 0.2440
5 Y 0.1665 0.8335 0.5000
6 Y 0.8335 0.1665 0.5000
7 Ho 0.2452 0.2452 0.7563
8 Ho 0.4083 0.0814 0.2440
9 Tb 0.3332 0.6668 0.0000
10 Y 0.5000 0.5000 0.5000
11 Ho 0.9186 0.5917 0.7560
12 Zr 0.0000 0.0000 0.0000

space group: No. 12
total magnetic moment: 0.00 μB/atom

The following is a DFT calculation (PBE) of crystalline Tb3Y2Ho6Zr at its relaxed geometry.

a b c (Å): 6.0771 6.0771 11.6096
angles (deg): 94.97 94.97 119.91
Fractional positions:
1 Y 0.6668 0.3332 0.0000
2 Tb 0.8335 0.1665 0.5000
3 Zr 0.0000 0.0000 0.0000
4 Ho 0.4074 0.0813 0.2452
5 Ho 0.7554 0.7554 0.2447
6 Ho 0.5926 0.9187 0.7548
7 Ho 0.9187 0.5926 0.7548
8 Tb 0.5000 0.5000 0.5000
9 Y 0.3332 0.6668 0.0000
10 Tb 0.1665 0.8335 0.5000
11 Ho 0.2446 0.2446 0.7553
12 Ho 0.0813 0.4074 0.2452

space group: No. 12
total magnetic moment: 0.00 μB/atom

The following is a DFT calculation (PBE) of crystalline Tb2HoZn2 at its relaxed geometry.

a b c (Å): 5.3297 6.1400 8.0646
angles (deg): 90.00 109.30 90.00
Fractional positions:
1 Ho 0.5822 0.9021 0.1643
2 Zn 0.3800 0.9150 0.7600
3 Tb 0.9561 0.7435 0.9122
4 Zn 0.6200 0.4150 0.2400
5 Ho 0.4178 0.4021 0.8357
6 Zn 0.7731 0.6479 0.5462
7 Zn 0.2269 0.1479 0.4538
8 Tb 0.7985 0.1571 0.5969
9 Tb 0.0439 0.2435 0.0878
10 Tb 0.2015 0.6571 0.4031

space group: No. 36
E above lowest polymorph: 69 meV per atom
total magnetic moment: 0.00 μB/atom

The following is a DFT calculation (PBE) of crystalline TbHo3Zn8 at its relaxed geometry.

a b c (Å): 5.4604 5.4604 9.4139
angles (deg): 73.14 73.14 60.00
Fractional positions:
1 Zn 0.9375 0.9375 0.6882
2 Ho 0.4998 0.4998 0.5007
3 Zn 0.1875 0.1875 0.4374
4 Zn 0.9382 0.4375 0.1868
5 Zn 0.9375 0.4368 0.6882
6 Tb 0.8752 0.8752 0.3745
7 Ho 0.9999 0.9999 0.0003
8 Ho 0.3752 0.3752 0.8745
9 Zn 0.6874 0.6874 0.9377
10 Zn 0.4375 0.4375 0.1868
11 Zn 0.4368 0.9375 0.6882
12 Zn 0.4375 0.9382 0.1868

space group: No. 160
E above lowest polymorph: 0 meV per atom
total magnetic moment: 0.00 μB/atom

The following is a DFT calculation (PBE) of crystalline TbHo3Zn8 at its relaxed geometry.

a b c (Å): 5.5287 5.5287 8.6520
angles (deg): 90.00 90.00 120.00
Fractional positions:
1 Zn 0.6705 0.8352 0.2491
2 Zn 0.9956 0.4978 0.7507
3 Zn 0.3333 0.6667 0.5003
4 Zn 0.3333 0.6667 0.0000
5 Tb 0.0000 0.0000 0.5579
6 Ho 0.0000 0.0000 0.9413
7 Zn 0.5022 0.4978 0.7507
8 Zn 0.5022 0.0044 0.7507
9 Zn 0.1648 0.8352 0.2491
10 Zn 0.1648 0.3295 0.2491
11 Ho 0.6667 0.3333 0.4421
12 Ho 0.6667 0.3333 0.0592

space group: No. 156
E above lowest polymorph: 9 meV per atom
total magnetic moment: 0.00 μB/atom

The following is a DFT calculation (PBE) of crystalline Tb2HoZn at its relaxed geometry.

a b c (Å): 3.5599 3.5599 10.5473
angles (deg): 80.28 80.28 60.00
Fractional positions:
1 Tb 0.7398 0.7398 0.7806
2 Tb 0.2602 0.2602 0.2194
3 Ho 0.5000 0.5000 0.5000
4 Zn 0.0000 0.0000 0.0000

space group: No. 166
E above lowest polymorph: 105 meV per atom
total magnetic moment: 0.00 μB/atom

The following is a DFT calculation (PBE) of crystalline TbHo2Zn9 at its relaxed geometry.

a b c (Å): 5.4318 5.4318 9.1124
angles (deg): 72.66 72.66 60.00
Fractional positions:
1 Zn 0.4144 0.9234 0.2478
2 Zn 0.5856 0.5856 0.7522
3 Zn 0.5856 0.0766 0.7522
4 Zn 0.5000 0.5000 0.5000
5 Zn 0.6651 0.6651 0.0047
6 Zn 0.0766 0.5856 0.7522
7 Zn 0.9234 0.4144 0.2478
8 Tb 0.0000 0.0000 0.0000
9 Zn 0.4144 0.4144 0.2478
10 Ho 0.1399 0.1399 0.5804
11 Zn 0.3349 0.3349 0.9953
12 Ho 0.8601 0.8601 0.4196

space group: No. 166
total magnetic moment: 0.00 μB/atom

The following is a DFT calculation (PBE) of crystalline Tb3Ho2Zn3 at its relaxed geometry.

a b c (Å): 3.6046 5.1855 11.1527
angles (deg): 103.44 99.30 90.00
Fractional positions:
1 Tb 0.6186 0.6186 0.2372
2 Tb 0.5000 0.0000 0.0000
3 Ho 0.2709 0.7709 0.5417
4 Zn 0.1160 0.1160 0.2321
5 Tb 0.3814 0.3814 0.7628
6 Zn 0.8840 0.8840 0.7679
7 Ho 0.7291 0.2291 0.4583
8 Zn 0.0000 0.5000 0.0000

space group: No. 71
total magnetic moment: 0.00 μB/atom

The following is a DFT calculation (PBE) of crystalline TbHo3Zn2 at its relaxed geometry.

a b c (Å): 3.5514 3.5514 12.1268
angles (deg): 90.00 90.00 90.00
Fractional positions:
1 Ho 0.0000 0.0000 0.0000
2 Tb 0.5000 0.5000 0.5000
3 Ho 0.0000 0.0000 0.7095
4 Zn 0.5000 0.5000 0.1446
5 Ho 0.0000 0.0000 0.2905
6 Zn 0.5000 0.5000 0.8554

space group: No. 123
total magnetic moment: 0.00 μB/atom

Formation energy from the elements values (in meV per atom) by entry order: 45.1; 46.1; 43.6; -197.5; -333.5; -324.9; -53.6; -316.5; -248.5; -226.5.